[1]
Material: Sc3Pa2Mn2
Method: DFT, PBE
State: relaxed

Calculated values
As for the crystal system: monoclinic. The energy of formation from the pure elements is -0.05 eV per atom.

Unit cell a=5.7986 b=5.7986 c=8.1989 alpha=110.09 beta=110.09 gamma=35.28
Fractional coordinates of all 7 atoms:
Sc1 0.0000 0.0000 0.0000
Sc2 0.1196 0.1196 0.4133
Sc3 0.8804 0.8804 0.5867
Pa1 0.3347 0.3347 0.2010
Pa2 0.6653 0.6653 0.7990
Mn1 0.2975 0.2975 0.7907
Mn2 0.7025 0.7025 0.2093

[2]
Material: LaPm2Pr4Th
Method: DFT, PBE
State: relaxed

Calculated values
As for the crystal system: monoclinic. The energy of formation from the pure elements is 0.04 eV per atom.

Unit cell a=6.3590 b=3.6810 c=12.2844 alpha=90.00 beta=100.01 gamma=90.00
Fractional coordinates of all 8 atoms:
La1 0.0000 0.0000 0.0000
Pm1 0.5000 0.0000 0.5000
Pm2 0.5000 0.5000 0.0000
Pr1 0.2424 0.0000 0.7437
Pr2 0.2480 0.5000 0.2532
Pr3 0.7520 0.5000 0.7468
Pr4 0.7576 0.0000 0.2563
Th1 0.0000 0.5000 0.5000

[3]
Material: DyPuCd2
Method: DFT, PBE
State: relaxed

Calculated values
The excess energy over the best structure of this formula in the dataset is 0.060 eV/f.u. As for the crystal system: cubic. The energy of formation from the pure elements is -0.11 eV per atom.

Unit cell a=5.3230 b=5.3230 c=5.3230 alpha=60.00 beta=60.00 gamma=60.00
Fractional coordinates of all 4 atoms:
Dy1 0.0000 0.0000 0.0000
Pu1 0.5000 0.5000 0.5000
Cd1 0.2500 0.2500 0.2500
Cd2 0.7500 0.7500 0.7500

[4]
Material: Pa4Co2Bi5
Method: DFT, PBE
State: relaxed

Calculated values
As for the crystal system: monoclinic. The energy of formation from the pure elements is -0.18 eV per atom.

Unit cell a=8.8273 b=3.2990 c=9.7415 alpha=90.00 beta=95.03 gamma=90.00
Fractional coordinates of all 11 atoms:
Pa1 0.1915 0.0000 0.4525
Pa2 0.1928 0.0000 0.8390
Pa3 0.8072 0.0000 0.1610
Pa4 0.8085 0.0000 0.5475
Co1 0.0697 0.5000 0.6307
Co2 0.9303 0.5000 0.3693
Bi1 0.1398 0.5000 0.1509
Bi2 0.4688 0.5000 0.6643
Bi3 0.5000 0.5000 0.0000
Bi4 0.5312 0.5000 0.3357
Bi5 0.8602 0.5000 0.8491

[5]
Material: TcHSe2
Method: DFT, PBE
State: relaxed

Calculated values
The excess energy over the best structure of this formula in the dataset is 0.722 eV/f.u. As for the crystal system: monoclinic.

Unit cell a=5.3451 b=5.3451 c=5.6503 alpha=110.43 beta=110.43 gamma=93.79
Fractional coordinates of all 8 atoms:
Tc1 0.0567 0.9433 0.5000
Tc2 0.9433 0.0567 0.0000
H1 0.5181 0.5699 0.4241
H2 0.5699 0.5181 0.9241
Se1 0.0949 0.3840 0.4745
Se2 0.3840 0.0949 0.9745
Se3 0.6048 0.8770 0.5112
Se4 0.8770 0.6048 0.0112

[6]
Material: Ac4Ga5Au3
Method: DFT, PBE
State: relaxed

Calculated values
As for the crystal system: monoclinic. The energy of formation from the pure elements is -0.56 eV per atom.

Unit cell a=8.0875 b=8.0875 c=10.4815 alpha=116.51 beta=116.51 gamma=33.85
Fractional coordinates of all 12 atoms:
Ac1 0.0370 0.0370 0.3234
Ac2 0.2602 0.2602 0.7909
Ac3 0.7398 0.7398 0.2091
Ac4 0.9630 0.9630 0.6766
Ga1 0.2785 0.2785 0.4783
Ga2 0.4120 0.4120 0.4091
Ga3 0.5000 0.5000 0.0000
Ga4 0.5880 0.5880 0.5909
Ga5 0.7215 0.7215 0.5217
Au1 0.0000 0.0000 0.0000
Au2 0.3753 0.3753 0.1350
Au3 0.6247 0.6247 0.8650

[7]
Material: NaCdSn2Te4
Method: DFT, PBE
State: relaxed

Calculated values
The formation energy from raw total energies is -0.388 eV per atom. As for the crystal system: monoclinic.

Unit cell a=7.6646 b=4.3785 c=7.7577 alpha=90.00 beta=108.95 gamma=90.00
Fractional coordinates of all 8 atoms:
Na1 0.0000 0.0000 0.0000
Cd1 0.5000 0.5000 0.0000
Sn1 0.0000 0.5000 0.5000
Sn2 0.5000 0.0000 0.5000
Te1 0.2582 0.5000 0.2524
Te2 0.2586 0.0000 0.7537
Te3 0.7414 0.0000 0.2463
Te4 0.7418 0.5000 0.7476

[8]
Material: TbPmSn
Method: DFT, PBE
State: relaxed

Calculated values
The excess energy over the best structure of this formula in the dataset is 0.571 eV/f.u. As for the crystal system: cubic. The energy of formation from the pure elements is -0.42 eV per atom.

Unit cell a=5.2110 b=5.2110 c=5.2110 alpha=60.00 beta=60.00 gamma=60.00
Fractional coordinates of all 3 atoms:
Tb1 0.0000 0.0000 0.0000
Pm1 0.5000 0.5000 0.5000
Sn1 0.2500 0.2500 0.2500